The following is a DFT calculation (PBE) of an optimized crystal structure of MgV3B.

```
data_MgV3B
_cell_length_a 4.1171
_cell_length_b 4.1171
_cell_length_c 4.1171
_cell_angle_alpha 90.00
_cell_angle_beta 90.00
_cell_angle_gamma 90.00
_symmetry_space_group_name_H-M 'P m -3 m'
_symmetry_Int_Tables_number 221
_symmetry_space_group_name_Hall '-P 4 2 3'
loop_
_atom_site_label
_atom_site_fract_x
_atom_site_fract_y
_atom_site_fract_z
Mg1 0.0000 0.0000 0.0000
V1 0.0000 0.5000 0.5000
B1 0.5000 0.5000 0.5000
```

- excess energy over the best structure of this formula in the dataset (kJ per mole of atoms) = 0.0

---

The following is a DFT calculation (PBE) of an optimized crystal structure of Mg6VB.

```
data_Mg6VB
_cell_length_a 4.7351
_cell_length_b 5.7270
_cell_length_c 10.9434
_cell_angle_alpha 90.00
_cell_angle_beta 90.00
_cell_angle_gamma 90.00
_symmetry_space_group_name_H-M 'A m m 2'
_symmetry_Int_Tables_number 38
loop_
_symmetry_equiv_pos_as_xyz
'x,y,z'
'-x,-y,z'
'-x,y,z'
'x,-y,z'
'x,y+1/2,z+1/2'
'-x,-y+1/2,z+1/2'
'-x,y+1/2,z+1/2'
'x,-y+1/2,z+1/2'
loop_
_atom_site_label
_atom_site_fract_x
_atom_site_fract_y
_atom_site_fract_z
Mg1 0.0000 0.0000 0.0000
Mg2 0.0000 0.0000 0.4866
Mg3 0.0000 0.2496 0.2578
Mg4 0.5000 0.2473 0.1037
V1 0.5000 0.0000 0.8498
B1 0.5000 0.0000 0.3208
```

- excess energy over the best structure of this formula in the dataset (kJ per mole of atoms) = 25.5

---

The following is a DFT calculation (PBE) of an optimized crystal structure of Mg6VB.

```
data_Mg6VB
_cell_length_a 3.3290
_cell_length_b 9.2397
_cell_length_c 10.2230
_cell_angle_alpha 90.00
_cell_angle_beta 90.00
_cell_angle_gamma 90.00
_symmetry_space_group_name_H-M 'A m m 2'
_symmetry_Int_Tables_number 38
loop_
_symmetry_equiv_pos_as_xyz
'x,y,z'
'-x,-y,z'
'-x,y,z'
'x,-y,z'
'x,y+1/2,z+1/2'
'-x,-y+1/2,z+1/2'
'-x,y+1/2,z+1/2'
'x,-y+1/2,z+1/2'
loop_
_atom_site_label
_atom_site_fract_x
_atom_site_fract_y
_atom_site_fract_z
Mg1 0.0000 0.0000 0.0000
Mg2 0.0000 0.1669 0.7206
Mg3 0.5000 0.0000 0.2476
Mg4 0.5000 0.2396 0.4715
V1 0.0000 0.0000 0.4854
B1 0.5000 0.0000 0.6034
```

- excess energy over the best structure of this formula in the dataset (kJ per mole of atoms) = 0.0

---

The following is a DFT calculation (PBE) of an optimized crystal structure of MgV2B.

```
data_MgV2B
_cell_length_a 4.0564
_cell_length_b 4.0564
_cell_length_c 16.0834
_cell_angle_alpha 90.00
_cell_angle_beta 90.00
_cell_angle_gamma 90.00
_symmetry_space_group_name_H-M 'I 41/a m d'
_symmetry_Int_Tables_number 141
loop_
_symmetry_equiv_pos_as_xyz
'x,y,z'
'-x,-y,-z'
'-y+1/4,x+3/4,z+1/4'
'y+1/4,-x+3/4,-z+1/4'
'-x+1/2,-y,z+1/2'
'x+1/2,y,-z+1/2'
'y+1/4,-x+1/4,z+3/4'
'-y+1/4,x+1/4,-z+3/4'
'x,-y,-z'
'-x,y,z'
'-y+1/4,-x+1/4,-z+3/4'
'y+1/4,x+1/4,z+3/4'
'-x+1/2,y,-z+1/2'
'x+1/2,-y,z+1/2'
'y+1/4,x+3/4,-z+1/4'
'-y+1/4,-x+3/4,z+1/4'
'x+1/2,y+1/2,z+1/2'
'-x+1/2,-y+1/2,-z+1/2'
'-y+3/4,x+1/4,z+3/4'
'y+3/4,-x+1/4,-z+3/4'
'-x,-y+1/2,z'
'x,y+1/2,-z'
'y+3/4,-x+3/4,z+1/4'
'-y+3/4,x+3/4,-z+1/4'
'x+1/2,-y+1/2,-z+1/2'
'-x+1/2,y+1/2,z+1/2'
'-y+3/4,-x+3/4,-z+1/4'
'y+3/4,x+3/4,z+1/4'
'-x,y+1/2,-z'
'x,-y+1/2,z'
'y+3/4,x+1/4,-z+3/4'
'-y+3/4,-x+1/4,z+3/4'
loop_
_atom_site_label
_atom_site_fract_x
_atom_site_fract_y
_atom_site_fract_z
Mg1 0.0000 0.2500 0.3750
V1 0.0000 0.0000 0.0000
B1 0.0000 0.2500 0.8750
```

- excess energy over the best structure of this formula in the dataset (kJ per mole of atoms) = 21.3

---

The following is a DFT calculation (PBE) of an optimized crystal structure of MgV2B.

```
data_MgV2B
_cell_length_a 5.8064
_cell_length_b 5.8064
_cell_length_c 5.8064
_cell_angle_alpha 90.00
_cell_angle_beta 90.00
_cell_angle_gamma 90.00
_symmetry_space_group_name_H-M 'F m -3 m'
_symmetry_Int_Tables_number 225
_symmetry_space_group_name_Hall '-F 4 2 3'
loop_
_atom_site_label
_atom_site_fract_x
_atom_site_fract_y
_atom_site_fract_z
Mg1 0.0000 0.0000 0.0000
V1 0.2500 0.2500 0.2500
B1 0.0000 0.0000 0.5000
```

- excess energy over the best structure of this formula in the dataset (kJ per mole of atoms) = 0.0

---

The following is a DFT calculation (PBE) of an optimized crystal structure of MgVB14.

```
data_MgVB14
_cell_length_a 5.8887
_cell_length_b 10.3781
_cell_length_c 8.0871
_cell_angle_alpha 90.00
_cell_angle_beta 90.00
_cell_angle_gamma 90.00
_symmetry_space_group_name_H-M 'I m m a'
_symmetry_Int_Tables_number 74
_symmetry_space_group_name_Hall '-I 2b 2'
loop_
_atom_site_label
_atom_site_fract_x
_atom_site_fract_y
_atom_site_fract_z
Mg1 0.0000 0.2500 0.1497
V1 0.2500 0.2500 0.7500
B1 0.0000 0.0851 0.6750
B2 0.0000 0.1420 0.8854
B3 0.0000 0.1681 0.4728
B4 0.1570 0.0655 0.3350
B5 0.2464 0.0805 0.5458
```

- uncorrected energy (eV per atom) = -6.63

---

The following is a DFT calculation (PBE) of an optimized crystal structure of Mg14VB.

```
data_Mg14VB
_cell_length_a 6.2430
_cell_length_b 6.2430
_cell_length_c 9.8048
_cell_angle_alpha 90.00
_cell_angle_beta 90.00
_cell_angle_gamma 120.00
_symmetry_space_group_name_H-M 'P -6 m 2'
_symmetry_Int_Tables_number 187
_symmetry_space_group_name_Hall 'P -6 2'
loop_
_atom_site_label
_atom_site_fract_x
_atom_site_fract_y
_atom_site_fract_z
Mg1 0.0000 0.0000 0.2468
Mg2 0.0167 0.5083 0.2619
Mg3 0.3264 0.1632 0.5000
Mg4 0.3387 0.1694 0.0000
V1 0.3333 0.6667 0.0000
B1 0.3333 0.6667 0.5000
```

- excess energy over the best structure of this formula in the dataset (kJ per mole of atoms) = 0.9

---

The following is a DFT calculation (PBE) of an optimized crystal structure of Mg14VB.

```
data_Mg14VB
_cell_length_a 9.9444
_cell_length_b 6.2314
_cell_length_c 10.7635
_cell_angle_alpha 90.00
_cell_angle_beta 90.00
_cell_angle_gamma 90.00
_symmetry_space_group_name_H-M 'A m m 2'
_symmetry_Int_Tables_number 38
loop_
_symmetry_equiv_pos_as_xyz
'x,y,z'
'-x,-y,z'
'-x,y,z'
'x,-y,z'
'x,y+1/2,z+1/2'
'-x,-y+1/2,z+1/2'
'-x,y+1/2,z+1/2'
'x,-y+1/2,z+1/2'
loop_
_atom_site_label
_atom_site_fract_x
_atom_site_fract_y
_atom_site_fract_z
Mg1 0.0000 0.0000 0.0000
Mg2 0.0000 0.0000 0.4975
Mg3 0.0000 0.2493 0.2448
Mg4 0.2505 0.0000 0.8324
Mg5 0.2575 0.0000 0.3302
Mg6 0.2795 0.2405 0.5739
Mg7 0.5000 0.2463 0.2691
V1 0.5000 0.0000 0.9989
B1 0.5000 0.0000 0.4653
```

- excess energy over the best structure of this formula in the dataset (kJ per mole of atoms) = 0.0

---

The following is a DFT calculation (PBE) of an optimized crystal structure of MgV3B.

```
data_MgV3B
_cell_length_a 4.3657
_cell_length_b 4.3657
_cell_length_c 4.3657
_cell_angle_alpha 90.00
_cell_angle_beta 90.00
_cell_angle_gamma 90.00
_symmetry_space_group_name_H-M 'P m -3 m'
_symmetry_Int_Tables_number 221
_symmetry_space_group_name_Hall '-P 4 2 3'
loop_
_atom_site_label
_atom_site_fract_x
_atom_site_fract_y
_atom_site_fract_z
Mg1 0.0000 0.0000 0.0000
V1 0.0000 0.0000 0.5000
B1 0.5000 0.5000 0.5000
```

- excess energy over the best structure of this formula in the dataset (kJ per mole of atoms) = 226.3

---

The following is a DFT calculation (PBE) of an optimized crystal structure of MgBW2.

```
data_MgBW2
_cell_length_a 6.0196
_cell_length_b 6.0196
_cell_length_c 6.0196
_cell_angle_alpha 90.00
_cell_angle_beta 90.00
_cell_angle_gamma 90.00
_symmetry_space_group_name_H-M 'F m -3 m'
_symmetry_Int_Tables_number 225
_symmetry_space_group_name_Hall '-F 4 2 3'
loop_
_atom_site_label
_atom_site_fract_x
_atom_site_fract_y
_atom_site_fract_z
Mg1 0.0000 0.0000 0.0000
B1 0.0000 0.0000 0.5000
W1 0.2500 0.2500 0.2500
```

- excess energy over the best structure of this formula in the dataset (kJ per mole of atoms) = 2.7

---

The following is a DFT calculation (PBE) of an optimized crystal structure of Mg3BW.

```
data_Mg3BW
_cell_length_a 5.2715
_cell_length_b 5.2715
_cell_length_c 5.2715
_cell_angle_alpha 90.00
_cell_angle_beta 90.00
_cell_angle_gamma 90.00
_symmetry_space_group_name_H-M 'P m -3 m'
_symmetry_Int_Tables_number 221
_symmetry_space_group_name_Hall '-P 4 2 3'
loop_
_atom_site_label
_atom_site_fract_x
_atom_site_fract_y
_atom_site_fract_z
Mg1 0.0000 0.0000 0.5000
B1 0.5000 0.5000 0.5000
W1 0.0000 0.0000 0.0000
```

- excess energy over the best structure of this formula in the dataset (kJ per mole of atoms) = 103.8

---

The following is a DFT calculation (PBE) of an optimized crystal structure of Mg6BW.

```
data_Mg6BW
_cell_length_a 4.7403
_cell_length_b 5.5229
_cell_length_c 10.8199
_cell_angle_alpha 90.00
_cell_angle_beta 90.00
_cell_angle_gamma 90.00
_symmetry_space_group_name_H-M 'A m m 2'
_symmetry_Int_Tables_number 38
loop_
_symmetry_equiv_pos_as_xyz
'x,y,z'
'-x,-y,z'
'-x,y,z'
'x,-y,z'
'x,y+1/2,z+1/2'
'-x,-y+1/2,z+1/2'
'-x,y+1/2,z+1/2'
'x,-y+1/2,z+1/2'
loop_
_atom_site_label
_atom_site_fract_x
_atom_site_fract_y
_atom_site_fract_z
Mg1 0.0000 0.0000 0.0000
Mg2 0.0000 0.0000 0.4822
Mg3 0.0000 0.2437 0.7551
Mg4 0.5000 0.2496 0.1041
B1 0.5000 0.0000 0.3427
W1 0.5000 0.0000 0.8561
```

- excess energy over the best structure of this formula in the dataset (kJ per mole of atoms) = 12.1